Compound: NaMnAs2Pd
Source: Alexandria
Functional: PBE
Structure: optimized geometry

Output
As for the space-group type: I-4m2. As for the crystal system: tetragonal. As for the total magnetization: 0.67 μB/atom. The calculation puts the total energy at -26.7 eV for the cell shown. As for the calculated density: 5.8 g cm⁻³. For the energy of formation from the pure elements, the calculation gives -0.35 eV per atom.

Unit cell a=4.269 b=4.269 c=6.065 alpha=110.60 beta=110.60 gamma=90.00
Each line ends with the local moment (μB).
Positions (direct):
1 Na 0.000 0.000 0.000  0.00
2 Mn 0.750 0.250 0.500  3.37
3 As 0.625 0.625 0.250  -0.07
4 As 0.375 0.375 0.750  -0.07
5 Pd 0.250 0.750 0.500  0.00



Compound: Na2MnAs4Pd3
Source: Alexandria
Functional: PBE
Structure: optimized geometry

Output
As for the space-group type: P-4m2. As for the crystal system: tetragonal. As for the total magnetization: 0.30 μB/atom. The calculation puts the total energy at -49.7 eV for the cell shown. As for the calculated density: 6.2 g cm⁻³. For the energy of formation from the pure elements, the calculation gives -0.37 eV per atom.

Unit cell a=4.286 b=4.286 c=10.514 alpha=90.00 beta=90.00 gamma=90.00
Each line ends with the local moment (μB).
Positions (direct):
1 Na 0.500 0.000 0.252  0.00
2 Na 0.000 0.500 0.748  0.00
3 Mn 0.500 0.500 0.500  3.31
4 As 0.500 0.500 0.000  -0.01
5 As 0.000 0.000 0.000  0.01
6 As 0.500 0.000 0.627  -0.11
7 As 0.000 0.500 0.373  -0.11
8 Pd 0.000 0.000 0.500  -0.09
9 Pd 0.500 0.000 0.868  -0.01
10 Pd 0.000 0.500 0.132  -0.01



Compound: Na2MnAs3Pt4
Source: Alexandria
Functional: PBE
Structure: optimized geometry

Output
As for the space-group type: P-4m2. As for the crystal system: tetragonal. As for the total magnetization: 0.40 μB/atom. The calculation puts the total energy at -53.6 eV for the cell shown. As for the calculated density: 9.7 g cm⁻³. For the energy of formation from the pure elements, the calculation gives -0.37 eV per atom.

Unit cell a=4.217 b=4.217 c=10.666 alpha=90.00 beta=90.00 gamma=90.00
Each line ends with the local moment (μB).
Positions (direct):
1 Na 0.500 0.000 0.247  0.00
2 Na 0.000 0.500 0.753  0.00
3 Mn 0.500 0.500 0.500  3.87
4 As 0.000 0.000 0.500  -0.03
5 As 0.500 0.000 0.864  -0.02
6 As 0.000 0.500 0.136  -0.02
7 Pt 0.500 0.500 0.000  -0.05
8 Pt 0.000 0.000 0.000  -0.04
9 Pt 0.500 0.000 0.638  0.09
10 Pt 0.000 0.500 0.362  0.09



Compound: NaMnAs2Rh
Source: Alexandria
Functional: PBE
Structure: optimized geometry

Output
As for the space-group type: P4/mmm. As for the crystal system: tetragonal. As for the total magnetization: 0.41 μB/atom. For the energy above the most stable polymorph in this dataset, the calculation gives 1038 meV/atom. The calculation puts the total energy at -24.0 eV for the cell shown. As for the calculated density: 5.6 g cm⁻³. For the energy of formation from the pure elements, the calculation gives 0.64 eV per atom.

Unit cell a=4.521 b=4.806 c=4.521 alpha=90.00 beta=90.00 gamma=90.00
Each line ends with the local moment (μB).
Positions (direct):
1 Na 0.000 0.500 0.000  0.01
2 As 0.000 0.000 0.500  -0.03
3 As 0.500 0.000 0.000  -0.10
4 Mn 0.000 0.000 0.000  2.14
5 Rh 0.500 0.500 0.500  -0.07



Compound: NaMnAs2Rh
Source: Alexandria
Functional: PBE
Structure: optimized geometry

Output
As for the space-group type: I-4m2. As for the crystal system: tetragonal. As for the total magnetization: 0.36 μB/atom. For the energy above the most stable polymorph in this dataset, the calculation gives 0 meV/atom. The calculation puts the total energy at -29.1 eV for the cell shown. As for the calculated density: 5.7 g cm⁻³. For the energy of formation from the pure elements, the calculation gives -0.40 eV per atom.

Unit cell a=3.943 b=3.943 c=6.772 alpha=106.93 beta=106.93 gamma=90.00
Each line ends with the local moment (μB).
Positions (direct):
1 Na 0.000 0.000 0.000  0.00
2 Mn 0.750 0.250 0.500  2.41
3 As 0.633 0.633 0.267  -0.11
4 As 0.367 0.367 0.733  -0.11
5 Rh 0.250 0.750 0.500  -0.27



Compound: Na2Mn2AsS6
Source: Alexandria
Functional: PBE
Structure: optimized geometry

Output
As for the space-group type: C2/m. As for the crystal system: monoclinic. As for the total magnetization: 0.64 μB/atom. The calculation puts the total energy at -57.2 eV for the cell shown. As for the calculated density: 3.2 g cm⁻³.

Unit cell a=6.155 b=6.155 c=7.081 alpha=98.25 beta=98.25 gamma=119.91
Each line ends with the local moment (μB).
Positions (direct):
1 Na 0.837 0.163 0.000  0.01
2 Na 0.163 0.837 0.000  0.01
3 Mn 0.333 0.667 0.500  3.35
4 Mn 0.667 0.333 0.500  3.35
5 As 0.000 0.000 0.500  0.05
6 S 0.715 0.715 0.697  -0.04
7 S 0.057 0.407 0.699  -0.03
8 S 0.285 0.285 0.303  -0.04
9 S 0.407 0.057 0.699  -0.03
10 S 0.943 0.593 0.301  -0.03
11 S 0.593 0.943 0.301  -0.03



Compound: Na2MnAsS5
Source: Alexandria
Functional: PBE
Structure: optimized geometry

Output
As for the space-group type: Cmc2_1. As for the crystal system: orthorhombic. As for the total magnetization: 0.25 μB/atom. The calculation puts the total energy at -83.2 eV for the cell shown. As for the calculated density: 2.8 g cm⁻³.

Unit cell a=3.391 b=10.912 c=11.076 alpha=90.00 beta=90.00 gamma=98.94
Each line ends with the local moment (μB).
Positions (direct):
1 Na 0.965 0.930 0.877  0.00
2 Na 0.157 0.314 0.707  0.00
3 Na 0.035 0.070 0.377  0.00
4 Na 0.843 0.686 0.207  0.00
5 Mn 0.714 0.429 0.421  2.51
6 Mn 0.286 0.571 0.921  2.51
7 As 0.596 0.192 0.046  0.00
8 As 0.404 0.808 0.546  0.00
9 S 0.377 0.755 0.996  -0.08
10 S 0.779 0.558 0.781  -0.12
11 S 0.574 0.148 0.850  0.00
12 S 0.257 0.515 0.530  -0.15
13 S 0.971 0.943 0.615  -0.01
14 S 0.623 0.245 0.496  -0.08
15 S 0.221 0.442 0.281  -0.12
16 S 0.426 0.852 0.350  0.00
17 S 0.743 0.485 0.030  -0.15
18 S 0.029 0.057 0.115  -0.01



Compound: Na2MnAsSe5
Source: Alexandria
Functional: PBE
Structure: optimized geometry

Output
As for the space-group type: Cmc2_1. As for the crystal system: orthorhombic. As for the total magnetization: 0.26 μB/atom. The calculation puts the total energy at -76.2 eV for the cell shown. As for the calculated density: 4.0 g cm⁻³.

Unit cell a=3.541 b=11.100 c=12.082 alpha=90.00 beta=90.00 gamma=99.18
Each line ends with the local moment (μB).
Positions (direct):
1 Na 0.933 0.866 0.838  0.00
2 Na 0.139 0.278 0.698  0.00
3 Na 0.067 0.134 0.338  0.00
4 Na 0.861 0.722 0.198  0.00
5 Mn 0.736 0.473 0.475  2.79
6 Mn 0.264 0.527 0.975  2.79
7 As 0.592 0.184 0.985  0.00
8 As 0.408 0.816 0.485  0.00
9 Se 0.369 0.737 0.995  -0.14
10 Se 0.745 0.489 0.842  -0.14
11 Se 0.544 0.087 0.806  0.00
12 Se 0.267 0.534 0.602  -0.15
13 Se 0.966 0.931 0.584  0.00
14 Se 0.631 0.263 0.495  -0.14
15 Se 0.255 0.511 0.342  -0.14
16 Se 0.456 0.913 0.306  0.00
17 Se 0.733 0.466 0.102  -0.15
18 Se 0.034 0.069 0.084  0.00



Compound: NaMnAsSe3
Source: Alexandria
Functional: PBE
Structure: optimized geometry

Output
As for the space-group type: P2_1/m. As for the crystal system: monoclinic. As for the total magnetization: 0.21 μB/atom. The calculation puts the total energy at -55.3 eV for the cell shown. As for the calculated density: 5.2 g cm⁻³.

Unit cell a=3.478 b=8.069 c=9.531 alpha=110.58 beta=90.00 gamma=90.00
Each line ends with the local moment (μB).
Positions (direct):
1 Na 0.250 0.225 0.274  0.00
2 Na 0.750 0.775 0.726  0.00
3 Mn 0.250 0.684 0.173  1.76
4 Mn 0.750 0.316 0.827  1.76
5 As 0.250 0.151 0.635  -0.09
6 As 0.750 0.849 0.365  -0.09
7 Se 0.750 0.886 0.112  -0.06
8 Se 0.250 0.114 0.888  -0.06
9 Se 0.250 0.625 0.425  -0.08
10 Se 0.750 0.375 0.575  -0.08
11 Se 0.750 0.445 0.110  -0.15
12 Se 0.250 0.555 0.890  -0.15



Compound: NaMnAs2Se
Source: Alexandria
Functional: PBE
Structure: optimized geometry

Output
As for the space-group type: P4/mmm. As for the crystal system: tetragonal. As for the total magnetization: 0.83 μB/atom. For the energy above the most stable polymorph in this dataset, the calculation gives 1073 meV/atom. The calculation puts the total energy at -18.1 eV for the cell shown. As for the calculated density: 4.1 g cm⁻³.

Unit cell a=4.984 b=4.984 c=5.055 alpha=90.00 beta=90.00 gamma=90.00
Each line ends with the local moment (μB).
Positions (direct):
1 Na 0.000 0.000 0.000  0.00
2 As 0.000 0.500 0.000  -0.14
3 As 0.500 0.000 0.000  -0.14
4 Mn 0.500 0.500 0.500  4.43
5 Se 0.000 0.000 0.500  -0.08



Compound: NaMnAs2Se
Source: Alexandria
Functional: PBE
Structure: optimized geometry

Output
As for the space-group type: P4/mmm. As for the crystal system: tetragonal. As for the total magnetization: 0.44 μB/atom. For the energy above the most stable polymorph in this dataset, the calculation gives 0 meV/atom. The calculation puts the total energy at -23.5 eV for the cell shown. As for the calculated density: 4.5 g cm⁻³.

Unit cell a=4.658 b=4.658 c=5.212 alpha=90.00 beta=90.00 gamma=90.00
Each line ends with the local moment (μB).
Positions (direct):
1 Na 0.500 0.500 0.500  0.01
2 As 0.000 0.500 0.000  -0.15
3 As 0.500 0.000 0.000  -0.15
4 Mn 0.000 0.000 0.000  2.59
5 Se 0.000 0.000 0.500  0.00



Compound: Na2MnAsSe4
Source: Alexandria
Functional: PBE
Structure: optimized geometry

Output
As for the space-group type: Imma. As for the crystal system: orthorhombic. As for the total magnetization: 0.50 μB/atom. The calculation puts the total energy at -70.2 eV for the cell shown. As for the calculated density: 4.6 g cm⁻³.

Unit cell a=7.969 b=7.969 c=7.945 alpha=119.90 beta=119.90 gamma=89.79
Each line ends with the local moment (μB).
Positions (direct):
1 Na 0.500 0.000 0.000  0.01
2 Na 0.500 0.000 0.500  0.01
3 Na 0.000 0.000 0.500  0.00
4 Na 0.500 0.500 0.000  0.00
5 Mn 0.000 0.500 0.000  3.76
6 Mn 0.000 0.500 0.500  3.76
7 As 0.500 0.500 0.500  0.04
8 As 0.000 0.000 0.000  0.04
9 Se 0.212 0.729 0.971  -0.03
10 Se 0.771 0.288 0.529  -0.03
11 Se 0.229 0.712 0.471  -0.03
12 Se 0.788 0.271 0.029  -0.03
13 Se 0.769 0.731 0.983  -0.02
14 Se 0.769 0.731 0.517  -0.02
15 Se 0.231 0.269 0.483  -0.02
16 Se 0.231 0.269 0.017  -0.02



Question: total magnetization of number 6 (Na2Mn2AsS6)?
Answer: 0.64 μB/atom